(1)
A relaxed structure of HfAlMo. Source: Alexandria, functional PBE.

Cell lengths 2.840, 2.840, 13.102 Å; angles 90.00, 90.00, 90.00 degrees
Space group I4mm (No. 107)
Symmetry-distinct sites (fractional):
Hf 0.000 0.000 0.000
Al 0.000 0.000 0.672
Mo 0.000 0.000 0.321

## Properties
Magnetic moment   0.001 μB/cell
DOS(E_F)   1.056 states/eV per atom
Relative energy among the computed polymorphs   312.6 meV per atom
Energy of formation   -26 meV per atom
Density   9.47 g cm⁻³


(2)
A relaxed structure of Hf4Al3Mo. Source: Alexandria, functional PBE.

Cell lengths 3.458, 3.458, 12.521 Å; angles 90.00, 90.00, 90.00 degrees
Space group P4/mmm (No. 123)
Symmetry-distinct sites (fractional):
Hf 0.000 0.000 0.121
Hf 0.000 0.000 0.376
Al 0.500 0.500 0.247
Al 0.500 0.500 0.500
Mo 0.500 0.500 0.000

## Properties
Magnetic moment   0.000 μB/cell
DOS(E_F)   0.723 states/eV per atom
Energy of formation   -278 meV per atom
Density   9.88 g cm⁻³


(3)
A relaxed structure of HfAlMo. Source: Alexandria, functional PBE.

Cell lengths 5.299, 5.321, 7.525 Å; angles 90.00, 90.00, 90.00 degrees
Space group Imma (No. 74)
Symmetry-distinct sites (fractional):
Hf 0.000 0.250 0.119
Al 0.000 0.000 0.500
Mo 0.250 0.250 0.750

## Properties
Magnetic moment   0.000 μB/cell
DOS(E_F)   0.744 states/eV per atom
Relative energy among the computed polymorphs   0.0 meV per atom
Energy of formation   -338 meV per atom
Density   9.44 g cm⁻³


(4)
A relaxed structure of HfAl2Mo. Source: Alexandria, functional PBE.

Cell lengths 7.116, 3.654, 10.617 Å; angles 90.00, 90.00, 90.00 degrees
Space group Pnma (No. 62)
Symmetry-distinct sites (fractional):
Hf 0.237 0.250 0.194
Al 0.064 0.250 0.834
Al 0.198 0.750 0.983
Mo 0.050 0.750 0.410

## Properties
Magnetic moment   0.000 μB/cell
DOS(E_F)   0.447 states/eV per atom
Relative energy among the computed polymorphs   0.0 meV per atom
Energy of formation   -276 meV per atom
Density   7.90 g cm⁻³